A plane-wave DFT calculation with SCAN was carried out for a PBEsol-optimized structure of Fe2SbSe.

Cell and atoms, written as POSCAR:
```
Fe2SbSe
1.0
-2.4380 -1.9355 -0.3705
1.2174 0.2490 3.9507
-3.7843 4.8584 -0.4785
Fe Sb Se
2 1 1
Direct
0.2599 0.5197 0.8190
0.9987 0.9975 0.9641
0.5040 0.0081 0.5924
0.7373 0.4747 0.1245
```

Summary:
V in Å³/atom: 18.09
Space-group type: Cm
ΔE_f (raw) in meV per atom: 38
Energy above the lowest structure with this stoichiometry in eV per atom: 0.000
Total energy in eV for the cell shown: -93.45
Magnetization in μB per formula unit: 5.075

A plane-wave DFT calculation with SCAN was carried out for a PBEsol-optimized structure of CoIr2Rh.

Cell and atoms, written as POSCAR:
```
CoIr2Rh
1.0
2.6677 -0.0004 0.0001
1.3335 2.3105 0.0001
1.3341 0.7702 8.5217
Co Rh Ir
1 1 2
Direct
0.2497 0.2497 0.2504
0.5037 0.5037 0.4892
0.7502 0.7502 0.7493
0.9962 0.9962 0.0110
```

Summary:
V in Å³/atom: 13.13
Space-group type: R3m
Energy of formation in eV per atom: 0.03
Energy above the lowest structure with this stoichiometry in eV per atom: 0.063
Total energy in eV for the cell shown: -193.14
Magnetization in μB per formula unit: 2.079

A plane-wave DFT calculation with SCAN was carried out for a PBEsol-optimized structure of Ba3ScIn.

Cell and atoms, written as POSCAR:
```
Ba3ScIn
1.0
6.5142 0.0000 0.0000
0.0000 6.5142 0.0000
0.0000 0.0000 6.5142
Ba In Sc
3 1 1
Direct
0.5000 0.0000 0.0000
0.0000 0.0000 0.5000
0.0000 0.5000 0.0000
0.0000 0.0000 0.0000
0.5000 0.5000 0.5000
```

Summary:
V in Å³/atom: 55.29
Space-group type: Pm-3m
Energy of formation in eV per atom: 0.36
Total energy in eV for the cell shown: -164.50
Magnetization in μB per formula unit: 3.028

A plane-wave DFT calculation with SCAN was carried out for a PBEsol-optimized structure of MnNbFe2H.

Cell and atoms, written as POSCAR:
```
MnNbFe2H
1.0
-1.7639 -1.0630 -3.0401
-0.3523 -3.3817 1.3868
-3.2186 0.9630 1.5307
Fe H Mn Nb
2 1 1 1
Direct
0.5000 0.0000 0.0000
0.0000 0.5000 0.0000
0.0000 0.0000 0.0000
0.0000 0.0000 0.5000
0.5000 0.5000 0.5000
```

Summary:
V in Å³/atom: 9.96
Space-group type: P4/mmm
Total energy in eV for the cell shown: -90.77
Magnetization in μB per formula unit: 4.783

A plane-wave DFT calculation with SCAN was carried out for a PBEsol-optimized structure of Cd2InRh.

Cell and atoms, written as POSCAR:
```
Cd2InRh
1.0
4.6614 0.0000 0.0000
2.3307 4.0369 0.0000
2.3307 1.3456 3.8060
Cd In Rh
2 1 1
Direct
0.7500 0.7500 0.7500
0.0000 0.0000 0.0000
0.5000 0.5000 0.5000
0.2500 0.2500 0.2500
```

Summary:
V in Å³/atom: 17.90
Space-group type: F-43m
Energy of formation in eV per atom: -0.05
Total energy in eV for the cell shown: -128.19
Magnetization in μB per formula unit: 0.000

A plane-wave DFT calculation with SCAN was carried out for a PBEsol-optimized structure of MgAsPCl2.

Cell and atoms, written as POSCAR:
```
MgAsPCl2
1.0
-3.8847 2.1860 0.5228
0.3597 -0.4258 4.4533
2.8464 4.9990 0.2481
P Cl Mg As
1 2 1 1
Direct
0.0000 0.0000 0.5000
0.5000 0.0000 0.0000
0.0000 0.5000 0.0000
0.0000 0.0000 0.0000
0.5000 0.5000 0.5000
```

Summary:
V in Å³/atom: 23.20
Space-group type: P4/mmm
ΔE_f (raw) in meV per atom: -153
Total energy in eV for the cell shown: -52.28
Magnetization in μB per formula unit: 0.001

A plane-wave DFT calculation with SCAN was carried out for a PBEsol-optimized structure of KZr2Ru.

Cell and atoms, written as POSCAR:
```
KZr2Ru
1.0
-2.5393 1.6848 0.1839
0.6285 -1.5848 2.5325
5.6926 8.1758 3.7036
Ru K Zr
1 1 2
Direct
0.5000 0.5000 0.2104
0.0000 0.0000 0.4641
0.5000 0.5000 0.7899
0.0000 0.0000 0.0356
```

Summary:
V in Å³/atom: 22.61
Space-group type: Cmm2
Energy of formation in eV per atom: 0.38
Energy above the lowest structure with this stoichiometry in eV per atom: 0.144
Total energy in eV for the cell shown: -103.02
Magnetization in μB per formula unit: 0.000

A plane-wave DFT calculation with SCAN was carried out for a PBEsol-optimized structure of ZrTlF3.

Cell and atoms, written as POSCAR:
```
ZrTlF3
1.0
-1.3282 -2.9794 -2.8825
3.9204 0.0812 -1.8903
1.3476 -3.1727 2.6584
F Zr Tl
3 1 1
Direct
0.5000 0.5000 0.0000
0.0000 0.5000 0.5000
0.5000 0.0000 0.5000
0.5000 0.5000 0.5000
0.0000 0.0000 0.0000
```

Summary:
V in Å³/atom: 16.50
Space-group type: Pm-3m
ΔE_f (raw) in meV per atom: -2485
Total energy in eV for the cell shown: -126.10
Magnetization in μB per formula unit: 1.660

A plane-wave DFT calculation with SCAN was carried out for a PBEsol-optimized structure of Ir2OsRu.

Cell and atoms, written as POSCAR:
```
Ir2OsRu
1.0
3.8005 0.0000 0.0000
0.0000 3.8005 0.0000
0.0000 0.0000 3.8267
Ir Os Ru
2 1 1
Direct
0.5000 0.0000 0.0000
0.0000 0.5000 0.0000
0.5000 0.5000 0.5000
0.0000 0.0000 0.5000
```

Summary:
V in Å³/atom: 13.82
Space-group type: P4/mmm
Energy of formation in eV per atom: -0.01
Energy above the lowest structure with this stoichiometry in eV per atom: 0.004
Total energy in eV for the cell shown: -248.96
Magnetization in μB per formula unit: 0.000

A plane-wave DFT calculation with SCAN was carried out for a PBEsol-optimized structure of La2FePt.

Cell and atoms, written as POSCAR:
```
La2FePt
1.0
-0.7905 1.8577 -2.9625
3.0092 -2.3704 -2.2895
-5.0580 -3.4982 1.3253
Pt La Fe
1 2 1
Direct
0.5505 0.5505 0.1010
0.7683 0.2685 0.5367
0.9743 0.9744 0.9487
0.2069 0.7066 0.4137
```

Summary:
V in Å³/atom: 22.41
Space-group type: Imm2
Energy of formation in eV per atom: -0.45
Total energy in eV for the cell shown: -176.33
Magnetization in μB per formula unit: 2.018

A plane-wave DFT calculation with SCAN was carried out for a PBEsol-optimized structure of TlPtAuN2.

Cell and atoms, written as POSCAR:
```
TlPtAuN2
1.0
-0.3599 3.2003 -2.5138
-3.3168 1.2316 2.0428
3.1779 2.9929 3.3554
N Au Tl Pt
2 1 1 1
Direct
0.0000 0.5000 0.0000
0.5000 0.0000 0.0000
0.0000 0.0000 0.5000
0.0000 0.0000 0.0000
0.5000 0.5000 0.5000
```

Summary:
V in Å³/atom: 18.38
Space-group type: P4/mmm
ΔE_f (raw) in meV per atom: 2244
Total energy in eV for the cell shown: -219.07
Magnetization in μB per formula unit: 3.318

A plane-wave DFT calculation with SCAN was carried out for a PBEsol-optimized structure of AlZn2Os.

Cell and atoms, written as POSCAR:
```
AlZn2Os
1.0
3.6949 0.0000 0.0000
0.0000 3.6949 0.0000
0.0000 0.0000 3.9834
Zn Os Al
2 1 1
Direct
0.5000 0.0000 0.0000
0.0000 0.5000 0.0000
0.0000 0.0000 0.5000
0.5000 0.5000 0.5000
```

Summary:
V in Å³/atom: 13.60
Space-group type: P4/mmm
Energy of formation in eV per atom: -0.11
Total energy in eV for the cell shown: -107.09
Magnetization in μB per formula unit: 0.000

A plane-wave DFT calculation with SCAN was carried out for a PBEsol-optimized structure of MgSb2W.

Cell and atoms, written as POSCAR:
```
MgSb2W
1.0
-0.0078 3.2726 -1.3416
-2.5839 2.2572 0.8589
3.4846 4.4298 6.1234
Mg W Sb
1 1 2
Direct
0.0000 0.0000 0.0000
0.5000 0.5000 0.5000
0.2419 0.2419 0.2744
0.7581 0.7581 0.7256
```

Summary:
V in Å³/atom: 21.85
Space-group type: R-3m
ΔE_f (raw) in meV per atom: 302
Energy above the lowest structure with this stoichiometry in eV per atom: 0.013
Total energy in eV for the cell shown: -147.97
Magnetization in μB per formula unit: 0.000

A plane-wave DFT calculation with SCAN was carried out for a PBEsol-optimized structure of KTcBr2.

Cell and atoms, written as POSCAR:
```
KTcBr2
1.0
-3.6632 0.0864 0.6208
0.6397 -3.0261 4.1956
0.6030 4.2423 2.9679
Tc Br K
1 2 1
Direct
0.0000 0.5000 0.5000
0.0000 0.5000 0.0000
0.0000 0.0000 0.5000
0.5000 0.0000 0.0000
```

Summary:
V in Å³/atom: 25.24
Space-group type: P4/mmm
ΔE_f (raw) in meV per atom: -339
Energy above the lowest structure with this stoichiometry in eV per atom: 0.000
Total energy in eV for the cell shown: -83.66
Magnetization in μB per formula unit: 3.421

Values for DOS(E_F), states/eV/cell, ordered as above
2.73; 3.91; 8.29; 3.78; 1.64; 1.86; 2.91; 3.79; 2.62; 3.42; 2.50; 2.44; 1.01; 1.58